1.
A relaxed structure of BiH2O2, computed with GGA-PBE.

For the electronic total energy, the calculation gives -4.968 eV per atom. Its crystal system is monoclinic. The total magnetic moment comes out at 0.0000 μB/atom.

The structure belongs to space group C2/m (No. 12); the cell edges are 7.464, 4.331 and 3.453 Å and the angles 90.00°, 90.06° and 90.00°. The asymmetric unit holds Bi at (0.000, 0.000, 0.000), H at (0.166, 0.500, 0.465) and O at (0.167, 0.500, 0.182).

---

2.
A relaxed structure of Bi2H2O3, computed with GGA-PBE.

For the electronic total energy, the calculation gives -4.810 eV per atom. Its crystal system is monoclinic. The total magnetic moment comes out at 0.0000 μB/atom.

The structure belongs to space group C2/m (No. 12); the cell edges are 10.363, 3.499 and 5.818 Å and the angles 90.00°, 97.55° and 90.00°. The asymmetric unit holds Bi at (0.143, 0.000, 0.169), H at (0.074, 0.500, 0.620), O at (0.000, 0.500, 0.500) and O at (0.202, 0.000, 0.816).